Rb3TeS3 | GGA-PBE | optimized geometry

Calculated values
The calculation puts the energy at -0.248 Ry per atom. Its uncorrected formation energy is -71.0 kJ/mol of atoms. For the total magnetization, the calculation gives 2.10 μB per cell.

abc: 6.787 9.886 9.886
angles: 120.00 90.00 90.00
Fractional positions:
Rb 0.750 0.714 0.634
Rb 0.750 0.366 0.080
Rb 0.750 0.920 0.286
Rb 0.250 0.286 0.366
Rb 0.250 0.634 0.920
Rb 0.250 0.080 0.714
Te 0.250 0.667 0.333
Te 0.750 0.333 0.667
S 0.250 0.695 0.605
S 0.250 0.395 0.089
S 0.250 0.911 0.305
S 0.750 0.305 0.395
S 0.750 0.605 0.911
S 0.750 0.089 0.695

---

Rb2TeS4 | GGA-PBE | optimized geometry

Calculated values
The value obtained for the offset from the most stable computed form is 21.6 kJ/mol of atoms. The calculation puts the energy at -0.248 Ry per atom. Its uncorrected formation energy is -27.8 kJ/mol of atoms. For the total magnetization, the calculation gives 1.23 μB per cell.

abc: 5.199 5.199 9.082
angles: 73.37 73.37 90.00
Fractional positions:
S 0.150 0.150 0.701
S 0.850 0.850 0.299
S 0.000 0.500 0.000
S 0.500 0.000 0.000
Te 0.000 0.000 0.000
Rb 0.358 0.358 0.285
Rb 0.642 0.642 0.715

---

RbTe2S2 | GGA-PBE | optimized geometry

Calculated values
The value obtained for the offset from the most stable computed form is 8.9 kJ/mol of atoms. The calculation puts the energy at -0.245 Ry per atom. Its uncorrected formation energy is -22.2 kJ/mol of atoms. For the total magnetization, the calculation gives 0.00 μB per cell.

abc: 9.423 9.423 4.246
angles: 90.00 90.00 90.00
Fractional positions:
S 0.300 0.800 0.000
S 0.800 0.700 0.000
S 0.700 0.200 0.000
S 0.200 0.300 0.000
Te 0.199 0.699 0.500
Te 0.699 0.801 0.500
Te 0.801 0.301 0.500
Te 0.301 0.199 0.500
Rb 0.000 0.000 0.000
Rb 0.500 0.500 0.000